A geometry-optimized Sr2SeF structure, computed with PBE.

Calculated values
As for the formation energy from raw total energies: -1.89 eV per atom. The theoretical density is 4.7 Mg/m³. The symmetry is Fm-3m.

Cell lengths 5.1647, 5.1647, 5.1647 Å; angles 60.00, 60.00, 60.00 degrees
Fractional coordinates of all 4 atoms:
Sr 0.7500 0.7500 0.7500
Sr 0.2500 0.2500 0.2500
Se 0.5000 0.5000 0.5000
F 0.0000 0.0000 0.0000

A geometry-optimized BaGaPdSe2 structure, computed with PBE.

Calculated values
As for the formation energy from raw total energies: 0.36 eV per atom. The theoretical density is 3.9 Mg/m³. The symmetry is P4/mmm.

Cell lengths 6.0833, 5.4851, 6.0833 Å; angles 90.00, 90.00, 90.00 degrees
Fractional coordinates of all 5 atoms:
Se 0.5000 0.0000 0.0000
Se 0.0000 0.0000 0.5000
Ga 0.5000 0.5000 0.5000
Ba 0.0000 0.0000 0.0000
Pd 0.0000 0.5000 0.0000

A geometry-optimized Dy2YCo9 structure, computed with PBE.

Calculated values
The theoretical density is 9.0 Mg/m³. Its total energy is -6.81 eV/atom. The symmetry is R-3m.

Cell lengths 4.9794, 4.9794, 8.6088 Å; angles 73.19, 73.19, 60.00 degrees
Fractional coordinates of all 12 atoms:
Co 0.5825 0.5825 0.7563
Co 0.6652 0.6652 0.0043
Co 0.4175 0.4175 0.2437
Co 0.3348 0.3348 0.9957
Co 0.5000 0.5000 0.5000
Co 0.9213 0.4175 0.2437
Co 0.5825 0.0787 0.7563
Co 0.4175 0.9213 0.2437
Co 0.0787 0.5825 0.7563
Y 0.0000 0.0000 0.0000
Dy 0.1398 0.1398 0.5805
Dy 0.8602 0.8602 0.4195

A geometry-optimized BaCuSi2 structure, computed with PBE.

Calculated values
As for the formation energy from raw total energies: -0.24 eV per atom. The theoretical density is 4.9 Mg/m³. The symmetry is R-3m.

Cell lengths 6.6017, 6.6017, 6.6017 Å; angles 35.64, 35.64, 35.64 degrees
Fractional coordinates of all 4 atoms:
Si 0.0436 0.0436 0.0436
Si 0.4564 0.4564 0.4564
Ba 0.2500 0.2500 0.2500
Cu 0.7500 0.7500 0.7500

A geometry-optimized TiHRu2 structure, computed with PBE.

Calculated values
The theoretical density is 8.4 Mg/m³. Its total energy is -7.11 eV/atom. The symmetry is Fm-3m.

Cell lengths 4.1287, 4.1287, 4.1287 Å; angles 60.00, 60.00, 60.00 degrees
Fractional coordinates of all 4 atoms:
Ti 0.5000 0.5000 0.5000
Ru 0.2500 0.2500 0.2500
Ru 0.7500 0.7500 0.7500
H 0.0000 0.0000 0.0000

A geometry-optimized HoNiSn2 structure, computed with PBE.

Calculated values
The theoretical density is 8.5 Mg/m³. Its total energy is -4.93 eV/atom. The symmetry is Pmna.

Cell lengths 6.9786, 9.6068, 5.3880 Å; angles 90.00, 90.00, 90.00 degrees
Fractional coordinates of all 16 atoms:
Sn 0.2500 0.7500 0.0316
Sn 0.7500 0.2500 0.9684
Sn 0.3473 0.0000 0.7304
Sn 0.2500 0.2500 0.0316
Sn 0.1527 0.5000 0.7304
Sn 0.7500 0.7500 0.9684
Sn 0.8473 0.5000 0.2696
Sn 0.6527 0.0000 0.2696
Ni 0.7224 0.0000 0.7374
Ni 0.7776 0.5000 0.7374
Ni 0.2776 0.0000 0.2626
Ni 0.2224 0.5000 0.2626
Ho 0.0000 0.8075 0.5000
Ho 0.5000 0.3075 0.5000
Ho 0.5000 0.6925 0.5000
Ho 0.0000 0.1925 0.5000

A geometry-optimized CsPr3F10 structure, computed with PBE.

Calculated values
As for the formation energy from raw total energies: -3.93 eV per atom. The theoretical density is 5.3 Mg/m³. The symmetry is Fm-3m.

Cell lengths 8.7306, 8.7306, 8.7306 Å; angles 60.00, 60.00, 60.00 degrees
Fractional coordinates of all 28 atoms:
F 0.6093 0.6093 0.1721
F 0.6718 0.0000 0.0000
F 0.6093 0.6093 0.6093
F 0.1721 0.6093 0.6093
F 0.3282 0.0000 0.6718
F 0.3907 0.3907 0.8279
F 0.3282 0.6718 0.0000
F 0.0000 0.3282 0.6718
F 0.6093 0.1721 0.6093
F 0.3907 0.3907 0.3907
F 0.8279 0.3907 0.3907
F 0.3282 0.0000 0.0000
F 0.6718 0.3282 0.0000
F 0.0000 0.0000 0.6718
F 0.0000 0.0000 0.3282
F 0.0000 0.6718 0.0000
F 0.6718 0.0000 0.3282
F 0.0000 0.6718 0.3282
F 0.3907 0.8279 0.3907
F 0.0000 0.3282 0.0000
Pr 0.2601 0.7399 0.7399
Pr 0.7399 0.2601 0.2601
Pr 0.2601 0.7399 0.2601
Pr 0.7399 0.2601 0.7399
Pr 0.7399 0.7399 0.2601
Pr 0.2601 0.2601 0.7399
Cs 0.2500 0.2500 0.2500
Cs 0.7500 0.7500 0.7500

Copy entry 2 word for word.
A geometry-optimized BaGaPdSe2 structure, computed with PBE.

Calculated values
As for the formation energy from raw total energies: 0.36 eV per atom. The theoretical density is 3.9 Mg/m³. The symmetry is P4/mmm.

Cell lengths 6.0833, 5.4851, 6.0833 Å; angles 90.00, 90.00, 90.00 degrees
Fractional coordinates of all 5 atoms:
Se 0.5000 0.0000 0.0000
Se 0.0000 0.0000 0.5000
Ga 0.5000 0.5000 0.5000
Ba 0.0000 0.0000 0.0000
Pd 0.0000 0.5000 0.0000

Q: The highest theoretical density belongs to which entry?
A: Dy2YCo9

Q: Among the records above, which one has the lowest theoretical density?
A: BaGaPdSe2